First-principles (meta-GGA SCAN) data for a crystal of CrIn2Br relaxed with PBEsol, as listed in Alexandria.

```
CrIn2Br
1.0
3.287 0.000 0.000
0.000 3.287 0.000
0.000 0.000 7.846
Cr In Br
1 2 1
Cartesian
0.000 0.000 0.000
1.644 1.644 1.657
1.644 1.644 6.188
0.000 0.000 3.923
```

The offset from the most stable computed form is 162 meV/atom. As for the space group: P4/mmm (123). The calculation puts the uncorrected formation energy at 0.07 eV/atom. The total magnetization is 4.0 μB per formula unit. The value obtained for the calculated volume is 84.77 Å³ per cell. As for the density of states at the Fermi level: 2.34 states/eV per cell.